Record 1
SrAg2SnGe, relaxed, DFT PBE; uncorrected energy = -0.2601 Ry/atom; density = 6.789 g cm⁻³
1.0
-2.315 2.315 5.643
2.315 -2.315 5.643
2.315 2.315 -5.643
Ge Ag Sr Sn
1 2 1 1
Cartesian
0.000 0.000 4.254
2.315 0.000 2.902
0.000 2.315 2.902
0.000 0.000 11.226
0.000 0.000 6.929

---

Record 2
ZnAgGeAu, relaxed, DFT PBE; uncorrected energy = -0.2133 Ry/atom; density = 10.263 g cm⁻³
1.0
0.000 3.297 3.297
3.297 0.000 3.297
3.297 3.297 0.000
Zn Au Ag Ge
1 1 1 1
Cartesian
3.297 3.297 3.297
4.945 4.945 4.945
0.000 0.000 0.000
1.648 1.648 1.648

---

> Among the records above, which one has the lowest density?

SrAg2SnGe

---

Copy entry 1 word for word.
SrAg2SnGe, relaxed, DFT PBE; uncorrected energy = -0.2601 Ry/atom; density = 6.789 g cm⁻³
1.0
-2.315 2.315 5.643
2.315 -2.315 5.643
2.315 2.315 -5.643
Ge Ag Sr Sn
1 2 1 1
Cartesian
0.000 0.000 4.254
2.315 0.000 2.902
0.000 2.315 2.902
0.000 0.000 11.226
0.000 0.000 6.929

---

Please write out number 1 again, unchanged.
SrAg2SnGe, relaxed, DFT PBE; uncorrected energy = -0.2601 Ry/atom; density = 6.789 g cm⁻³
1.0
-2.315 2.315 5.643
2.315 -2.315 5.643
2.315 2.315 -5.643
Ge Ag Sr Sn
1 2 1 1
Cartesian
0.000 0.000 4.254
2.315 0.000 2.902
0.000 2.315 2.902
0.000 0.000 11.226
0.000 0.000 6.929

---

> The lowest density belongs to which entry?

SrAg2SnGe